A relaxed structure of MgIn2Au, computed with PBE.

Properties
* DOS(E_F): 3.66 states/eV per cell
* total moment: 0.00 μB/f.u.
* energy of formation: -0.13 eV/atom
* total DFT energy (no corrections): -2.72 eV/atom

abc: 3.4045 3.4045 27.1711
angles: 90.00 90.00 120.00
Space group R-3m (No. 166, hexagonal axes)
One atom of each set of equivalent atoms:
Mg: 0.0000 0.0000 0.0000 (multiplicity 3)
In: 0.0000 0.0000 0.2449 (multiplicity 6)
Au: 0.0000 0.0000 0.5000 (multiplicity 3)

=====

A relaxed structure of Mg2InAu2, computed with PBE.

Properties
* DOS(E_F): 4.24 states/eV per cell
* total moment: 0.00 μB/f.u.
* energy of formation: -0.21 eV/atom
* total DFT energy (no corrections): -2.71 eV/atom

abc: 3.9358 3.9358 14.3240
angles: 90.00 90.00 90.00
Space group I4/mmm (No. 139)
One atom of each set of equivalent atoms:
Mg: 0.0000 0.0000 0.1110 (multiplicity 4)
In: 0.0000 0.0000 0.5000 (multiplicity 2)
Au: 0.0000 0.5000 0.2500 (multiplicity 4)

=====

A relaxed structure of MgIn2Au, computed with PBE.

Properties
* DOS(E_F): 2.67 states/eV per cell
* total moment: 0.00 μB/f.u.
* energy of formation: -0.19 eV/atom
* total DFT energy (no corrections): -2.78 eV/atom

abc: 3.2745 4.5082 13.0450
angles: 90.00 90.00 90.00
Space group Immm (No. 71)
One atom of each set of equivalent atoms:
Mg: 0.0000 0.0000 0.0000 (multiplicity 2)
In: 0.0000 0.5000 0.1894 (multiplicity 4)
Au: 0.0000 0.0000 0.5000 (multiplicity 2)

=====

A relaxed structure of MgIn2Au, computed with PBE.

Properties
* DOS(E_F): 3.38 states/eV per cell
* total moment: 0.00 μB/f.u.
* energy of formation: -0.14 eV/atom
* total DFT energy (no corrections): -2.73 eV/atom

abc: 9.4875 3.5072 5.4014
angles: 90.00 100.27 90.00
Space group C2/m (No. 12)
One atom of each set of equivalent atoms:
Mg: 0.0000 0.0000 0.0000 (multiplicity 2)
In: 0.2451 0.0000 0.7453 (multiplicity 4)
Au: 0.0000 0.5000 0.5000 (multiplicity 2)